[1]
The following is a GGA-PBEsol calculation of a relaxed BaLa2Br8 crystal, from Alexandria.

Values from the calculation:
- space group = P2/c
- energy relative to the elements, uncorrected (meV per atom) = -1988

a = 7.2711 Å, b = 6.8306 Å, c = 16.1587 Å
α = 90.00°, β = 109.13°, γ = 90.00°
Positions (direct):
1 Ba 0.0000 0.1903 0.2500
2 Ba 0.0000 0.8097 0.7500
3 La 0.2963 0.2112 0.0235
4 La 0.2963 0.7888 0.5235
5 La 0.7037 0.2112 0.4765
6 La 0.7037 0.7888 0.9765
7 Br 0.0846 0.0914 0.6060
8 Br 0.0846 0.9086 0.1060
9 Br 0.2721 0.4282 0.1671
10 Br 0.2721 0.5718 0.6671
11 Br 0.2824 0.4017 0.4323
12 Br 0.2824 0.5983 0.9323
13 Br 0.4088 0.0691 0.8704
14 Br 0.4088 0.9309 0.3704
15 Br 0.5912 0.0691 0.6296
16 Br 0.5912 0.9309 0.1296
17 Br 0.7176 0.4017 0.0677
18 Br 0.7176 0.5983 0.5677
19 Br 0.7279 0.4282 0.3329
20 Br 0.7279 0.5718 0.8329
21 Br 0.9154 0.0914 0.8940
22 Br 0.9154 0.9086 0.3940



[2]
The following is a GGA-PBEsol calculation of a relaxed Lu2AgOs crystal, from Alexandria.

Values from the calculation:
- E (eV for the cell shown) = -26.8
- space group = Fm-3m

a = 4.7656 Å, b = 4.7656 Å, c = 4.7656 Å
α = 60.00°, β = 60.00°, γ = 60.00°
Positions (direct):
1 Lu 0.2500 0.2500 0.2500
2 Lu 0.7500 0.7500 0.7500
3 Ag 0.0000 0.0000 0.0000
4 Os 0.5000 0.5000 0.5000



[3]
The following is a GGA-PBEsol calculation of a relaxed Li2TeAu2 crystal, from Alexandria.

Values from the calculation:
- space group = P4/mbm
- energy relative to the elements, uncorrected (meV per atom) = -320

a = 7.8772 Å, b = 7.8772 Å, c = 2.8913 Å
α = 90.00°, β = 90.00°, γ = 90.00°
Positions (direct):
1 Li 0.1613 0.3387 0.0000
2 Li 0.3387 0.8387 0.0000
3 Li 0.6613 0.1613 0.0000
4 Li 0.8387 0.6613 0.0000
5 Te 0.0000 0.0000 0.0000
6 Te 0.5000 0.5000 0.0000
7 Au 0.1268 0.6268 0.5000
8 Au 0.3732 0.1268 0.5000
9 Au 0.6268 0.8732 0.5000
10 Au 0.8732 0.3732 0.5000



[4]
The following is a GGA-PBEsol calculation of a relaxed YMgTe2 crystal, from Alexandria.

Values from the calculation:
- space group = R-3m
- energy relative to the elements, uncorrected (meV per atom) = -1063
- energy relative to the lowest polymorph listed for this composition (meV per atom) = 36.5

a = 7.7566 Å, b = 7.7566 Å, c = 7.7566 Å
α = 30.80°, β = 30.80°, γ = 30.80°
Positions (direct):
1 Y 0.0000 0.0000 0.0000
2 Mg 0.5000 0.5000 0.5000
3 Te 0.2456 0.2456 0.2456
4 Te 0.7544 0.7544 0.7544



[5]
The following is a GGA-PBEsol calculation of a relaxed LaTlAg3 crystal, from Alexandria.

Values from the calculation:
- E (eV for the cell shown) = -16.2
- space group = Pm-3m

a = 5.1195 Å, b = 5.1195 Å, c = 5.1195 Å
α = 90.00°, β = 90.00°, γ = 90.00°
Positions (direct):
1 La 0.0000 0.0000 0.0000
2 Tl 0.5000 0.5000 0.5000
3 Ag 0.0000 0.5000 0.5000
4 Ag 0.5000 0.0000 0.5000
5 Ag 0.5000 0.5000 0.0000



[6]
The following is a GGA-PBEsol calculation of a relaxed In2CoRh crystal, from Alexandria.

Values from the calculation:
- E (eV for the cell shown) = -22.4
- space group = Fm-3m

a = 4.4330 Å, b = 4.4330 Å, c = 4.4330 Å
α = 60.00°, β = 60.00°, γ = 60.00°
Positions (direct):
1 In 0.2500 0.2500 0.2500
2 In 0.7500 0.7500 0.7500
3 Co 0.0000 0.0000 0.0000
4 Rh 0.5000 0.5000 0.5000



The evaluated N(E_F) for the records listed, in turn: 0.00, 0.49, 0.32, 0.56, 0.62, 0.61 states/eV/atom.
The evaluated V for the records listed, in turn: 34.46, 19.13, 17.94, 27.13, 26.84, 15.40 A^3/atom.